{
  "formula": "CoMoP",
  "functional": "PBE",
  "state": "relaxed",
  "total_energy_ev_per_atom": -8.0024,
  "spacegroup": "No. 216",
  "ef_ev_per_atom": -0.22,
  "cell": [[-3.4892, 1.7208, -0.0783], [-1.9353, 0.3226, -3.3604], [-3.2031, -2.1230, -0.6121]],
  "species": ["Co", "Mo", "P"],
  "fractional_positions": [[0.0000, 0.0000, 0.0000], [0.5000, 0.5000, 0.5000], [0.7500, 0.7500, 0.7500]]
}

{
  "formula": "CoMoP",
  "functional": "PBE",
  "state": "relaxed",
  "total_energy_ev_per_atom": -8.3898,
  "spacegroup": "No. 11",
  "ef_ev_per_atom": -0.61,
  "cell": [[3.7572, 0.0000, 0.0000], [0.0000, 5.8438, 0.0175], [0.0000, 0.0121, 10.0246]],
  "species": ["Co", "Co", "Co", "Co", "Co", "Co", "Mo", "Mo", "Mo", "Mo", "Mo", "Mo", "P", "P", "P", "P", "P", "P"],
  "fractional_positions": [[0.2500, 0.9837, 0.0864], [0.2500, 0.8602, 0.4577], [0.7500, 0.6400, 0.7908], [0.7500, 0.1398, 0.5423], [0.2500, 0.3600, 0.2092], [0.7500, 0.0163, 0.9136], [0.7500, 0.5356, 0.3821], [0.2500, 0.9708, 0.7149], [0.7500, 0.0292, 0.2851], [0.7500, 0.6458, 0.0847], [0.2500, 0.4644, 0.6179], [0.2500, 0.3542, 0.9153], [0.2500, 0.7598, 0.9135], [0.7500, 0.2716, 0.7509], [0.7500, 0.7637, 0.5802], [0.7500, 0.2402, 0.0865], [0.2500, 0.2363, 0.4198], [0.2500, 0.7284, 0.2491]]
}

Copy entry 1 word for word.
{
  "formula": "CoMoP",
  "functional": "PBE",
  "state": "relaxed",
  "total_energy_ev_per_atom": -8.0024,
  "spacegroup": "No. 216",
  "ef_ev_per_atom": -0.22,
  "cell": [[-3.4892, 1.7208, -0.0783], [-1.9353, 0.3226, -3.3604], [-3.2031, -2.1230, -0.6121]],
  "species": ["Co", "Mo", "P"],
  "fractional_positions": [[0.0000, 0.0000, 0.0000], [0.5000, 0.5000, 0.5000], [0.7500, 0.7500, 0.7500]]
}

Please write out number 1 again, unchanged.
{
  "formula": "CoMoP",
  "functional": "PBE",
  "state": "relaxed",
  "total_energy_ev_per_atom": -8.0024,
  "spacegroup": "No. 216",
  "ef_ev_per_atom": -0.22,
  "cell": [[-3.4892, 1.7208, -0.0783], [-1.9353, 0.3226, -3.3604], [-3.2031, -2.1230, -0.6121]],
  "species": ["Co", "Mo", "P"],
  "fractional_positions": [[0.0000, 0.0000, 0.0000], [0.5000, 0.5000, 0.5000], [0.7500, 0.7500, 0.7500]]
}